First-principles (PBE) data for TlPN3 after structural relaxation, as listed in the Alexandria database.

Output
The space group is Pm-3m. Its uncorrected energy is -18.34 eV/cell.

Unit cell a=4.306 b=4.306 c=4.306 alpha=90.00 beta=90.00 gamma=90.00
Fractional coordinates of all 5 atoms:
P  0.500  0.500  0.500
Tl  0.000  0.000  0.000
N  0.000  0.500  0.000
N  0.000  0.000  0.500
N  0.500  0.000  0.000